Entry 1:
ZrCo2Te: PBEsol geometry, SCAN.

Lattice parameters (Å, degrees): 3.320 3.320 5.672 90.00 90.00 90.00
Atoms (fractional coordinates):
1 Co 0.000 0.000 0.742
2 Co 0.000 0.000 0.258
3 Te 0.500 0.500 0.000
4 Zr 0.500 0.500 0.500

Output
volume	63	Å³/cell
ΔE_f (raw)	-87	meV/atom
symmetry	No. 123


Entry 2:
MgRu2Br: PBEsol geometry, SCAN.

Lattice parameters (Å, degrees): 4.387 4.387 4.387 60.00 60.00 60.00
Atoms (fractional coordinates):
1 Br 0.000 0.000 0.000
2 Ru 0.750 0.750 0.750
3 Ru 0.250 0.250 0.250
4 Mg 0.500 0.500 0.500

Output
volume	60	Å³/cell
ΔE_f (raw)	848	meV/atom
symmetry	No. 225


Entry 3:
SnTe: PBEsol geometry, SCAN.

Lattice parameters (Å, degrees): 4.442 4.442 4.442 60.00 60.00 60.00
Atoms (fractional coordinates):
1 Sn 0.990 0.990 0.031
2 Te 0.489 0.489 0.532

Output
volume	62	Å³/cell
ΔE_f (raw)	-205	meV/atom
symmetry	No. 225


Entry 4:
Zr2RuSe: PBEsol geometry, SCAN.

Lattice parameters (Å, degrees): 4.363 4.834 4.363 63.17 90.00 116.83
Atoms (fractional coordinates):
1 Ru 0.500 0.000 0.500
2 Zr 0.250 0.500 0.250
3 Zr 0.750 0.500 0.750
4 Se 0.000 0.000 0.000

Output
volume	71	Å³/cell
ΔE_f (raw)	-478	meV/atom
symmetry	No. 139


Entry 5:
SrTlAg4: PBEsol geometry, SCAN.

Lattice parameters (Å, degrees): 5.614 5.614 5.614 60.00 60.00 60.00
Atoms (fractional coordinates):
1 Ag 0.877 0.374 0.374
2 Ag 0.374 0.374 0.374
3 Ag 0.374 0.877 0.374
4 Ag 0.374 0.374 0.877
5 Sr 0.750 0.750 0.750
6 Tl 0.000 0.000 0.000

Output
energy relative to the elements	-0.189	eV/atom
volume	125	Å³/cell
symmetry	No. 216


Entry 6:
La3SiHg: PBEsol geometry, SCAN.

Lattice parameters (Å, degrees): 5.594 5.594 5.594 90.00 90.00 90.00
Atoms (fractional coordinates):
1 La 0.000 0.500 0.000
2 La 0.000 0.000 0.500
3 La 0.500 0.000 0.000
4 Si 0.000 0.000 0.000
5 Hg 0.500 0.500 0.500

Output
volume	175	Å³/cell
ΔE_f (raw)	-203	meV/atom
symmetry	No. 221


Entry 7:
Ca2InGa2: PBEsol geometry, SCAN.

Lattice parameters (Å, degrees): 4.640 7.189 7.189 90.00 90.00 90.00
Atoms (fractional coordinates):
1 In 0.000 0.000 0.000
2 In 0.000 0.500 0.500
3 Ca 0.500 0.675 0.825
4 Ca 0.500 0.175 0.675
5 Ca 0.500 0.825 0.325
6 Ca 0.500 0.325 0.175
7 Ga 0.000 0.625 0.125
8 Ga 0.000 0.125 0.375
9 Ga 0.000 0.375 0.875
10 Ga 0.000 0.875 0.625

Output
energy relative to the elements	-0.515	eV/atom
volume	240	Å³/cell
symmetry	No. 127


Entry 8:
YAg2Br: PBEsol geometry, SCAN.

Lattice parameters (Å, degrees): 3.912 3.912 5.788 90.00 90.00 90.00
Atoms (fractional coordinates):
1 Ag 0.000 0.000 0.741
2 Ag 0.000 0.000 0.259
3 Y 0.500 0.500 0.500
4 Br 0.500 0.500 0.000

Output
offset from the most stable computed form	0.0816	eV/atom
volume	89	Å³/cell
ΔE_f (raw)	-293	meV/atom
symmetry	No. 123


Entry 9:
Nb2PdS5: PBEsol geometry, SCAN.

Lattice parameters (Å, degrees): 3.268 6.272 14.999 80.34 83.75 74.90
Atoms (fractional coordinates):
1 S 0.352 0.790 0.506
2 S 0.504 0.678 0.314
3 S 0.248 0.201 0.302
4 S 0.079 0.719 0.123
5 S 0.752 0.799 0.698
6 S 0.826 0.240 0.108
7 S 0.174 0.760 0.892
8 S 0.921 0.281 0.877
9 S 0.648 0.210 0.494
10 S 0.496 0.322 0.686
11 Nb 0.150 0.076 0.625
12 Nb 0.850 0.924 0.375
13 Nb 0.574 0.033 0.819
14 Nb 0.426 0.967 0.181
15 Pd 0.000 0.000 0.000
16 Pd 0.000 0.500 0.500

Output
volume	292	Å³/cell
ΔE_f (raw)	-981	meV/atom
symmetry	No. 12


Entry 10:
Cd3IrRu: PBEsol geometry, SCAN.

Lattice parameters (Å, degrees): 4.920 4.920 4.920 90.00 90.00 90.00
Atoms (fractional coordinates):
1 Ru 0.000 0.000 0.000
2 Cd 0.000 0.000 0.500
3 Cd 0.000 0.500 0.000
4 Cd 0.500 0.000 0.000
5 Ir 0.500 0.500 0.500

Output
energy relative to the elements	1.558	eV/atom
volume	119	Å³/cell
symmetry	No. 221


Entry 11:
Li3Cr4O8: PBEsol geometry, SCAN.

Lattice parameters (Å, degrees): 5.792 5.792 5.802 60.06 60.06 60.00
Atoms (fractional coordinates):
1 Cr 0.000 0.000 0.500
2 Cr 0.500 0.500 0.500
3 Cr 0.000 0.500 0.500
4 Cr 0.500 0.000 0.500
5 O 0.736 0.736 0.286
6 O 0.241 0.241 0.276
7 O 0.264 0.264 0.714
8 O 0.242 0.736 0.286
9 O 0.758 0.264 0.714
10 O 0.264 0.758 0.714
11 O 0.759 0.759 0.724
12 O 0.736 0.242 0.286
13 Li 0.000 0.500 0.000
14 Li 0.500 0.500 0.000
15 Li 0.500 0.000 0.000

Output
volume	138	Å³/cell
ΔE_f (raw)	-2448	meV/atom
symmetry	No. 166


Entry 12:
ReTe2IN: PBEsol geometry, SCAN.

Lattice parameters (Å, degrees): 4.676 4.536 4.536 90.00 90.00 90.00
Atoms (fractional coordinates):
1 N 0.000 0.000 0.000
2 Te 0.000 0.500 0.000
3 Te 0.000 0.000 0.500
4 I 0.500 0.000 0.000
5 Re 0.500 0.500 0.500

Output
volume	96	Å³/cell
ΔE_f (raw)	1761	meV/atom
symmetry	No. 123


Q: Look up the volume of the seventh one.
A: 240 Å³/cell


Q: Among the records above, which one has the lowest volume?
A: MgRu2Br


Q: Which value of volume does entry 7 give?
A: 240 Å³/cell


Q: Which formula does entry 3 have?
A: SnTe